No. 1
The following is a DFT calculation (PBE) of TbEr6Sc after structural relaxation.

The volume is 30.2 Å³ per atom. As for the energy of formation from the pure elements: 1.67 eV per formula unit.

Lattice parameters (Å, degrees): 6.4833 6.4833 6.6225 90.05 90.05 119.84
With the nearest neighbours (Å) after each atom.
Positions (direct):
Tb 0.0000 0.0000 0.0000  2 Sc 3.31, 6 Er 3.35
Er 0.0037 0.4502 0.2532  6 Er 3.29-3.42, 1 Sc 3.34, 1 Tb 3.35
Er 0.4449 0.4449 0.7464  6 Er 3.29-3.43, 1 Sc 3.32, 1 Tb 3.35
Er 0.4502 0.0037 0.2532  6 Er 3.29-3.42, 1 Sc 3.34, 1 Tb 3.35
Er 0.5498 0.9963 0.7468  6 Er 3.29-3.42, 1 Sc 3.34, 1 Tb 3.35
Er 0.5551 0.5551 0.2536  6 Er 3.29-3.43, 1 Sc 3.32, 1 Tb 3.35
Er 0.9963 0.5498 0.7468  6 Er 3.29-3.42, 1 Sc 3.34, 1 Tb 3.35
Sc 0.0000 0.0000 0.5000  2 Tb 3.31, 6 Er 3.32-3.34



No. 2
The following is a DFT calculation (PBE) of Tb7Er12Sc after structural relaxation.

The volume is 31.3 Å³ per atom. As for the energy of formation from the pure elements: 5.72 eV per formula unit.

Lattice parameters (Å, degrees): 8.5854 8.5854 8.5854 94.89 94.89 94.89
With the nearest neighbours (Å) after each atom.
Positions (direct):
Tb 0.0000 0.0000 0.0000  6 Er 3.07
Tb 0.1550 0.4883 0.4227  1 Sc 2.97, 2 Er 3.07-3.32, 1 Tb 3.09
Tb 0.4227 0.1550 0.4883  1 Sc 2.97, 2 Er 3.07-3.32, 1 Tb 3.09
Tb 0.4883 0.4227 0.1550  1 Sc 2.97, 2 Er 3.07-3.32, 1 Tb 3.09
Tb 0.5117 0.5773 0.8450  1 Sc 2.97, 2 Er 3.07-3.32, 1 Tb 3.09
Tb 0.5773 0.8450 0.5117  1 Sc 2.97, 2 Er 3.07-3.32, 1 Tb 3.09
Tb 0.8450 0.5117 0.5773  1 Sc 2.97, 2 Er 3.07-3.32, 1 Tb 3.09
Er 0.0246 0.3555 0.0898  2 Tb 3.07, 2 Er 3.07-3.31
Er 0.0898 0.0246 0.3555  2 Tb 3.07, 2 Er 3.07-3.31
Er 0.1779 0.3086 0.7495  3 Er 3.31-3.52, 3 Tb 3.32-3.52
Er 0.2505 0.8221 0.6914  3 Er 3.31-3.52, 3 Tb 3.32-3.52
Er 0.3086 0.7495 0.1779  3 Er 3.31-3.52, 3 Tb 3.32-3.52
Er 0.3556 0.0898 0.0246  2 Tb 3.07, 2 Er 3.07-3.31
Er 0.6444 0.9102 0.9754  2 Tb 3.07, 2 Er 3.07-3.31
Er 0.6914 0.2505 0.8220  3 Er 3.31-3.52, 3 Tb 3.32-3.52
Er 0.7495 0.1779 0.3086  3 Er 3.31-3.52, 3 Tb 3.32-3.52
Er 0.8220 0.6914 0.2505  3 Er 3.31-3.52, 3 Tb 3.32-3.52
Er 0.9102 0.9754 0.6444  2 Tb 3.07, 2 Er 3.07-3.31
Er 0.9754 0.6444 0.9102  2 Tb 3.07, 2 Er 3.07-3.31
Sc 0.5000 0.5000 0.5000  6 Tb 2.97



No. 3
The following is a DFT calculation (PBE) of Tb3Er2Sc2 after structural relaxation.

The volume is 29.5 Å³ per atom. As for the energy of formation from the pure elements: 0.27 eV per formula unit.

Lattice parameters (Å, degrees): 11.9073 11.9073 3.4294 90.00 90.00 154.87
With the nearest neighbours (Å) after each atom.
Positions (direct):
Tb 0.0000 0.0000 0.0000  4 Tb 3.43-3.63, 8 Er 3.56
Tb 0.1562 0.8438 0.0000  6 Sc 3.40-3.43, 3 Tb 3.43-3.63, 4 Er 3.64
Tb 0.8438 0.1562 0.0000  6 Sc 3.40-3.43, 3 Tb 3.43-3.63, 4 Er 3.64
Er 0.4254 0.5746 0.5000  1 Sc 3.28, 3 Er 3.43-3.47, 8 Tb 3.56-3.64
Er 0.5746 0.4254 0.5000  1 Sc 3.28, 3 Er 3.43-3.47, 8 Tb 3.56-3.64
Sc 0.2842 0.7158 0.5000  2 Sc 3.04, 1 Er 3.28, 4 Tb 3.40
Sc 0.7158 0.2842 0.5000  2 Sc 3.04, 1 Er 3.28, 4 Tb 3.40